No. 1
An optimized crystal structure of Ac2Mg5In4, computed with PBE. Values from VASP.

```
&SYSTEM
  ibrav = 0, nat = 11, ntyp = 3
/
ATOMIC_SPECIES
Ac 227.00 Ac.upf
Mg 24.30 Mg.upf
In 114.82 In.upf
CELL_PARAMETERS angstrom
0.0000 5.4879 8.5924
3.3203 0.0000 8.5924
3.3203 5.4879 0.0000
ATOMIC_POSITIONS crystal
Ac 0.1405 0.1405 0.8595
Ac 0.8595 0.8595 0.1405
Mg 0.0000 0.0000 0.5000
Mg 0.2500 0.2500 0.2500
Mg 0.5000 0.5000 0.0000
Mg 0.5000 0.5000 0.5000
Mg 0.7500 0.7500 0.7500
In 0.2238 0.4974 0.5026
In 0.4974 0.2238 0.7762
In 0.5026 0.7762 0.2238
In 0.7762 0.5026 0.4974
```

Calculated density ... 5488 kg/m³
VASP energy ... -29.1 eV per formula unit



No. 2
An optimized crystal structure of Ac6Mg23In, computed with PBE. Values from VASP.

```
&SYSTEM
  ibrav = 0, nat = 30, ntyp = 3
/
ATOMIC_SPECIES
Ac 227.00 Ac.upf
Mg 24.30 Mg.upf
In 114.82 In.upf
CELL_PARAMETERS angstrom
0.0000 7.4986 7.4986
7.4986 0.0000 7.4986
7.4986 7.4986 0.0000
ATOMIC_POSITIONS crystal
Ac 0.2192 0.2192 0.7808
Ac 0.2192 0.7808 0.2192
Ac 0.2192 0.7808 0.7808
Ac 0.7808 0.2192 0.2192
Ac 0.7808 0.2192 0.7808
Ac 0.7808 0.7808 0.2192
Mg 0.0000 0.0000 0.5000
Mg 0.0000 0.5000 0.0000
Mg 0.0000 0.5000 0.5000
Mg 0.1268 0.6244 0.6244
Mg 0.1725 0.1725 0.1725
Mg 0.1725 0.1725 0.4824
Mg 0.1725 0.4824 0.1725
Mg 0.3756 0.3756 0.3756
Mg 0.3756 0.3756 0.8732
Mg 0.3756 0.8732 0.3756
Mg 0.4824 0.1725 0.1725
Mg 0.5000 0.0000 0.0000
Mg 0.5000 0.0000 0.5000
Mg 0.5000 0.5000 0.0000
Mg 0.5000 0.5000 0.5000
Mg 0.5176 0.8275 0.8275
Mg 0.6244 0.1268 0.6244
Mg 0.6244 0.6244 0.1268
Mg 0.6244 0.6244 0.6244
Mg 0.8275 0.5176 0.8275
Mg 0.8275 0.8275 0.5176
Mg 0.8275 0.8275 0.8275
Mg 0.8732 0.3756 0.3756
In 0.0000 0.0000 0.0000
```

Calculated density ... 4009 kg/m³
VASP energy ... -67.3 eV per formula unit



No. 3
An optimized crystal structure of Ac3Mg2In4, computed with PBE. Values from VASP.

```
&SYSTEM
  ibrav = 0, nat = 9, ntyp = 3
/
ATOMIC_SPECIES
Ac 227.00 Ac.upf
Mg 24.30 Mg.upf
In 114.82 In.upf
CELL_PARAMETERS angstrom
6.0941 -2.5312 0.0000
6.0941 2.5312 0.0000
-3.2913 0.0000 9.1577
ATOMIC_POSITIONS crystal
Ac 0.0000 0.0000 0.0000
Ac 0.3525 0.3525 0.3197
Ac 0.6475 0.6475 0.6803
Mg 0.3503 0.3503 0.6827
Mg 0.6497 0.6497 0.3173
In 0.0823 0.0823 0.4118
In 0.2916 0.2916 0.9490
In 0.7084 0.7084 0.0510
In 0.9177 0.9177 0.5882
```

Calculated density ... 6988 kg/m³
VASP energy ... -30.0 eV per formula unit



No. 4
An optimized crystal structure of Ac3Mg2In, computed with PBE. Values from VASP.

```
&SYSTEM
  ibrav = 0, nat = 6, ntyp = 3
/
ATOMIC_SPECIES
Ac 227.00 Ac.upf
Mg 24.30 Mg.upf
In 114.82 In.upf
CELL_PARAMETERS angstrom
2.8979 -8.7291 0.0000
2.8979 8.7291 0.0000
0.0000 0.0000 4.1148
ATOMIC_POSITIONS crystal
Ac 0.0000 0.0000 0.0000
Ac 0.3355 0.6645 0.0000
Ac 0.6645 0.3355 0.0000
Mg 0.1710 0.8290 0.5000
Mg 0.8290 0.1710 0.5000
In 0.5000 0.5000 0.5000
```

E above lowest polymorph ... 0.0 kJ per mole of atoms
Calculated density ... 6736 kg/m³



No. 5
An optimized crystal structure of Ac2MgIn2, computed with PBE. Values from VASP.

```
&SYSTEM
  ibrav = 0, nat = 10, ntyp = 3
/
ATOMIC_SPECIES
Ac 227.00 Ac.upf
Mg 24.30 Mg.upf
In 114.82 In.upf
CELL_PARAMETERS angstrom
6.1066 -2.5460 0.0000
6.1066 2.5460 0.0000
-5.7664 0.0000 10.5966
ATOMIC_POSITIONS crystal
Ac 0.0046 0.0046 0.3283
Ac 0.1799 0.1799 0.0965
Ac 0.8201 0.8201 0.9035
Ac 0.9954 0.9954 0.6717
Mg 0.2779 0.2779 0.6397
Mg 0.7221 0.7221 0.3603
In 0.3600 0.3600 0.4320
In 0.4824 0.4824 0.1192
In 0.5176 0.5176 0.8808
In 0.6400 0.6400 0.5680
```

E above lowest polymorph ... 0.0 kJ per mole of atoms
Calculated density ... 7135 kg/m³



No. 6
An optimized crystal structure of Ac2MgIn2, computed with PBE. Values from VASP.

```
&SYSTEM
  ibrav = 0, nat = 5, ntyp = 3
/
ATOMIC_SPECIES
Ac 227.00 Ac.upf
Mg 24.30 Mg.upf
In 114.82 In.upf
CELL_PARAMETERS angstrom
-2.3770 3.3429 5.2050
2.3770 -3.3429 5.2050
2.3770 3.3429 -5.2050
ATOMIC_POSITIONS crystal
Ac 0.2069 0.2069 0.0000
Ac 0.7931 0.7931 0.0000
Mg 0.5000 0.0000 0.5000
In 0.2342 0.5000 0.7342
In 0.7658 0.5000 0.2658
```

E above lowest polymorph ... 4.7 kJ per mole of atoms
Calculated density ... 7106 kg/m³



No. 7
An optimized crystal structure of Ac3Mg2In7, computed with PBE. Values from VASP.

```
&SYSTEM
  ibrav = 0, nat = 12, ntyp = 3
/
ATOMIC_SPECIES
Ac 227.00 Ac.upf
Mg 24.30 Mg.upf
In 114.82 In.upf
CELL_PARAMETERS angstrom
6.1589 0.0000 0.0000
0.0000 4.5068 0.0000
-2.1087 0.0000 13.2415
ATOMIC_POSITIONS crystal
Ac 0.0000 0.0000 0.0000
Ac 0.3294 0.0000 0.6180
Ac 0.6706 0.0000 0.3820
Mg 0.3470 0.5000 0.1911
Mg 0.6530 0.5000 0.8089
In 0.1338 0.0000 0.2706
In 0.1737 0.5000 0.8017
In 0.1790 0.5000 0.4204
In 0.5000 0.5000 0.0000
In 0.8210 0.5000 0.5796
In 0.8263 0.5000 0.1983
In 0.8662 0.0000 0.7294
```

Calculated density ... 6928 kg/m³
VASP energy ... -38.0 eV per formula unit



No. 8
An optimized crystal structure of AcMg2In, computed with PBE. Values from VASP.

```
&SYSTEM
  ibrav = 0, nat = 4, ntyp = 3
/
ATOMIC_SPECIES
Ac 227.00 Ac.upf
Mg 24.30 Mg.upf
In 114.82 In.upf
CELL_PARAMETERS angstrom
0.0000 3.8120 3.8120
3.8120 0.0000 3.8120
3.8120 3.8120 0.0000
ATOMIC_POSITIONS crystal
Ac 0.0000 0.0000 0.0000
Mg 0.2500 0.2500 0.2500
Mg 0.7500 0.7500 0.7500
In 0.5000 0.5000 0.5000
```

E above lowest polymorph ... 13.5 kJ per mole of atoms
Calculated density ... 5852 kg/m³



No. 9
An optimized crystal structure of AcMg2In3, computed with PBE. Values from VASP.

```
&SYSTEM
  ibrav = 0, nat = 12, ntyp = 3
/
ATOMIC_SPECIES
Ac 227.00 Ac.upf
Mg 24.30 Mg.upf
In 114.82 In.upf
CELL_PARAMETERS angstrom
5.0501 0.0000 0.0000
-2.5250 4.3735 0.0000
0.0000 0.0000 14.9398
ATOMIC_POSITIONS crystal
Ac 0.0000 0.0000 0.2500
Ac 0.0000 0.0000 0.7500
Mg 0.3333 0.6667 0.0906
Mg 0.3333 0.6667 0.4094
Mg 0.6667 0.3333 0.5906
Mg 0.6667 0.3333 0.9094
In 0.0000 0.0000 0.0000
In 0.0000 0.0000 0.5000
In 0.3333 0.6667 0.6268
In 0.3333 0.6667 0.8732
In 0.6667 0.3333 0.1268
In 0.6667 0.3333 0.3732
```

Calculated density ... 6241 kg/m³
VASP energy ... -17.0 eV per formula unit



No. 10
An optimized crystal structure of AcMg3In, computed with PBE. Values from VASP.

```
&SYSTEM
  ibrav = 0, nat = 5, ntyp = 3
/
ATOMIC_SPECIES
Ac 227.00 Ac.upf
Mg 24.30 Mg.upf
In 114.82 In.upf
CELL_PARAMETERS angstrom
4.4441 -3.6230 0.0000
4.4441 3.6230 0.0000
-3.1627 0.0000 4.3447
ATOMIC_POSITIONS crystal
Ac 0.0000 0.0000 0.0000
Mg 0.3015 0.6932 0.4966
Mg 0.3059 0.3059 0.7994
Mg 0.6932 0.3015 0.4966
In 0.6985 0.6985 0.2044
```

E above lowest polymorph ... 0.0 kJ per mole of atoms
Calculated density ... 4922 kg/m³



No. 11
An optimized crystal structure of AcMgIn5, computed with PBE. Values from VASP.

```
&SYSTEM
  ibrav = 0, nat = 7, ntyp = 3
/
ATOMIC_SPECIES
Ac 227.00 Ac.upf
Mg 24.30 Mg.upf
In 114.82 In.upf
CELL_PARAMETERS angstrom
5.0996 0.0000 0.0000
0.0000 5.0996 0.0000
0.0000 0.0000 7.7308
ATOMIC_POSITIONS crystal
Ac 0.0000 0.0000 0.0000
Mg 0.0000 0.0000 0.5000
In 0.0000 0.5000 0.2993
In 0.0000 0.5000 0.7007
In 0.5000 0.0000 0.2993
In 0.5000 0.0000 0.7007
In 0.5000 0.5000 0.0000
```

Calculated density ... 6817 kg/m³
VASP energy ... -21.0 eV per formula unit



No. 12
An optimized crystal structure of Ac2Mg3In, computed with PBE. Values from VASP.

```
&SYSTEM
  ibrav = 0, nat = 6, ntyp = 3
/
ATOMIC_SPECIES
Ac 227.00 Ac.upf
Mg 24.30 Mg.upf
In 114.82 In.upf
CELL_PARAMETERS angstrom
3.1311 1.8077 5.2511
-3.1311 1.8077 5.2511
0.0000 -3.6154 5.2511
ATOMIC_POSITIONS crystal
Ac 0.1283 0.1283 0.1283
Ac 0.8717 0.8717 0.8717
Mg 0.0000 0.5000 0.5000
Mg 0.5000 0.0000 0.5000
Mg 0.5000 0.5000 0.0000
In 0.5000 0.5000 0.5000
```

E above lowest polymorph ... 0.0 kJ per mole of atoms
Calculated density ... 5976 kg/m³



Question: Which value of calculated density does entry 3 give?
Answer: 6988 kg/m³



Question: Which of these has the lowest calculated density?
Answer: Ac6Mg23In



Question: Which of these has the lowest calculated density?
Answer: Ac6Mg23In



Question: Number 12 is which compound?
Answer: Ac2Mg3In